# Cd2SnPb (PBE, relaxed)
data_Cd2SnPb
_chemical_formula_sum 'Cd8 Sn4 Pb4'
_cell_length_a 10.600
_cell_length_b 4.483
_cell_length_c 10.102
_cell_angle_alpha 90.00
_cell_angle_beta 117.48
_cell_angle_gamma 90.00
_symmetry_space_group_name_H-M 'C 1 2/m 1'
_symmetry_Int_Tables_number 12
loop_
_symmetry_equiv_pos_as_xyz
'x,y,z'
'-x,-y,-z'
'-x,y,-z'
'x,-y,z'
'x+1/2,y+1/2,z'
'-x+1/2,-y+1/2,-z'
'-x+1/2,y+1/2,-z'
'x+1/2,-y+1/2,z'
loop_
_atom_site_label
_atom_site_type_symbol
_atom_site_fract_x
_atom_site_fract_y
_atom_site_fract_z
_atom_site_occupancy
Cd1 Cd 0.132 0.000 0.439 1
Cd2 Cd 0.142 0.500 0.210 1
Sn1 Sn 0.116 0.500 0.675 1
Pb1 Pb 0.114 0.000 0.925 1
# Crystal system: monoclinic
# Raw total energy in eV/atom: -2.34
# Relative energy among the computed polymorphs in meV per atom: 0